Here is CuHg2Os after structural relaxation from Alexandria via LeMat-Bulk. Energies are from PBE.

Calculated values
The value obtained for the density of states at the Fermi level is 3.67 states/eV/cell. For the uncorrected energy, the calculation gives -13.446 eV per cell. As for the crystal system: orthorhombic. For the calculated volume, the calculation gives 71.4 Å³/cell. The space group is Pmm2, No. 25. Its energy above the lowest structure with this stoichiometry is 24 meV per atom.

a b c (Å): 2.9041 2.8891 8.5124
angles (deg): 90.00 90.00 90.00
Last column: nearest neighbours and their distance in Å.
Sites, in units of the cell vectors:
Os 0.0000 0.0000 0.5330  4 Cu 2.61, 4 Os 2.89-2.90
Cu 0.5000 0.5000 0.7222  4 Os 2.61, 4 Cu 2.89-2.90, 4 Hg 2.90
Hg 0.0000 0.0000 0.9629  4 Hg 2.89-2.90, 4 Cu 2.90
Hg 0.5000 0.5000 0.2818  4 Hg 2.89-2.90, 4 Os 2.96

=====

Here is Rb3GaTe4 after structural relaxation from Alexandria via LeMat-Bulk. Energies are from PBE.

Calculated values
The value obtained for the density of states at the Fermi level is 3.18 states/eV/cell. The energy relative to the elements, uncorrected comes out at -733.6 meV per atom. For the uncorrected energy, the calculation gives -24.365 eV per cell. As for the crystal system: orthorhombic. For the calculated volume, the calculation gives 372.6 Å³/cell. The space group is Imm2, No. 44.

a b c (Å): 9.2454 9.2454 9.2454
angles (deg): 64.97 129.79 141.54
Last column: nearest neighbours and their distance in Å.
Sites, in units of the cell vectors:
Te 0.5044 0.2424 0.2621  1 Ga 2.73, 1 Te 2.95
Te 0.2028 0.6463 0.8491  1 Ga 2.59
Te 0.0197 0.7576 0.2621  1 Ga 2.73, 1 Te 2.95
Te 0.2028 0.3537 0.5566  1 Ga 2.59
Rb 0.6776 0.2863 0.9639  5 Te 3.74-3.87
Rb 0.6776 0.7137 0.3913  5 Te 3.74-3.87
Rb 0.8193 0.0000 0.8193  2 Ga 3.72, 6 Te 3.77-3.91
Ga 0.0468 0.5000 0.5468  4 Te 2.59-2.73

=====

Here is RbNaTa2Sb after structural relaxation from Alexandria via LeMat-Bulk. Energies are from PBE.

Calculated values
The value obtained for the density of states at the Fermi level is 4.90 states/eV/cell. The energy relative to the elements, uncorrected comes out at 1376.3 meV per atom. For the uncorrected energy, the calculation gives -23.233 eV per cell. As for the crystal system: tetragonal. For the calculated volume, the calculation gives 169.8 Å³/cell. The space group is P4/mmm, No. 123. Its energy above the lowest structure with this stoichiometry is 0 meV per atom.

a b c (Å): 5.2841 6.0811 5.2841
angles (deg): 90.00 90.00 90.00
Last column: nearest neighbours and their distance in Å.
Sites, in units of the cell vectors:
Ta 0.5000 0.0000 0.0000  2 Sb 2.64
Ta 0.0000 0.0000 0.5000  2 Sb 2.64
Sb 0.0000 0.0000 0.0000  4 Ta 2.64
Rb 0.5000 0.5000 0.5000  4 Na 3.74, 8 Ta 4.03
Na 0.0000 0.5000 0.0000  2 Sb 3.04

=====

Here is ThCoSi3Rh after structural relaxation from Alexandria via LeMat-Bulk. Energies are from PBE.

Calculated values
The value obtained for the density of states at the Fermi level is 6.10 states/eV/cell. The energy relative to the elements, uncorrected comes out at -493.8 meV per atom. For the uncorrected energy, the calculation gives -82.218 eV per cell. As for the crystal system: orthorhombic. For the calculated volume, the calculation gives 216.2 Å³/cell. The space group is Cmcm, No. 63.

a b c (Å): 5.8075 6.1397 6.7965
angles (deg): 116.85 90.00 90.00
Last column: nearest neighbours and their distance in Å.
Sites, in units of the cell vectors:
Si 0.2500 0.2044 0.4087  1 Co 2.13, 1 Rh 2.25
Si 0.5000 0.2827 0.0000  2 Co 2.29, 2 Rh 2.38
Si 0.5000 0.7173 0.0000  2 Co 2.29, 2 Rh 2.38
Si 0.7500 0.7956 0.5913  1 Co 2.13, 1 Rh 2.25
Si 0.0000 0.2827 0.0000  2 Co 2.29, 2 Rh 2.38
Si 0.0000 0.7173 0.0000  2 Co 2.29, 2 Rh 2.38
Th 0.7500 0.2161 0.4323  4 Si 2.91-3.22, 1 Co 2.97
Th 0.2500 0.7839 0.5677  4 Si 2.91-3.22, 1 Co 2.97
Co 0.2500 0.0286 0.0572  5 Si 2.13-2.29
Co 0.7500 0.9714 0.9428  5 Si 2.13-2.29
Rh 0.7500 0.6104 0.2209  5 Si 2.25-2.38
Rh 0.2500 0.3896 0.7791  5 Si 2.25-2.38

=====

Here is Ba3Hg5Bi12 after structural relaxation from Alexandria via LeMat-Bulk. Energies are from PBE.

Calculated values
The value obtained for the density of states at the Fermi level is 45.35 states/eV/cell. For the uncorrected energy, the calculation gives -219.286 eV per cell. As for the crystal system: cubic. For the calculated volume, the calculation gives 4877.1 Å³/cell. The space group is Ia-3d, No. 230.

a b c (Å): 18.5039 18.5039 18.5039
angles (deg): 109.47 109.47 109.47
Last column: nearest neighbours and their distance in Å.
Sites, in units of the cell vectors:
Ba 0.2500 0.1250 0.3750  8 Bi 3.62-3.63
Ba 0.1250 0.8750 0.7500  8 Bi 3.62-3.63
Ba 0.2500 0.6250 0.8750  8 Bi 3.62-3.63
Ba 0.3750 0.7500 0.6250  8 Bi 3.62-3.63
Ba 0.6250 0.2500 0.3750  8 Bi 3.62-3.63
Ba 0.6250 0.3750 0.7500  8 Bi 3.62-3.63
Ba 0.8750 0.1250 0.2500  8 Bi 3.62-3.63
Ba 0.8750 0.7500 0.1250  8 Bi 3.62-3.63
Ba 0.7500 0.8750 0.6250  8 Bi 3.62-3.63
Ba 0.3750 0.6250 0.2500  8 Bi 3.62-3.63
Ba 0.7500 0.3750 0.1250  8 Bi 3.62-3.63
Ba 0.1250 0.2500 0.8750  8 Bi 3.62-3.63
Bi 0.6218 0.3957 0.5611  3 Bi 3.14-3.19
Bi 0.4393 0.2739 0.3782  3 Bi 3.14-3.19
Bi 0.0607 0.9389 0.3346  3 Bi 3.14-3.19
Bi 0.6043 0.3782 0.9389  3 Bi 3.14-3.19
Bi 0.4389 0.3346 0.5607  3 Bi 3.14-3.19
Bi 0.6654 0.5611 0.9393  3 Bi 3.14-3.19
Bi 0.9393 0.8782 0.7739  3 Bi 3.14-3.19
Bi 0.1218 0.0607 0.7261  3 Bi 3.14-3.19
Bi 0.5611 0.8957 0.6218  3 Bi 3.14-3.19
Bi 0.5607 0.7261 0.6218  3 Bi 3.14-3.19
Bi 0.3957 0.6218 0.0611  3 Bi 3.14-3.19
Bi 0.8782 0.9393 0.2739  3 Bi 3.14-3.19
Bi 0.9393 0.0611 0.6654  3 Bi 3.14-3.19
Bi 0.3957 0.7739 0.8346  3 Bi 3.14-3.19
Bi 0.3346 0.4389 0.0607  3 Bi 3.14-3.19
Bi 0.9389 0.0607 0.8346  3 Bi 3.14-3.19
Bi 0.3346 0.8957 0.7739  3 Bi 3.14-3.19
Bi 0.2739 0.8346 0.8957  3 Bi 3.14-3.19
Bi 0.7261 0.1654 0.1043  3 Bi 3.14-3.19
Bi 0.2261 0.6043 0.6654  3 Bi 3.14-3.19
Bi 0.6654 0.1043 0.2261  3 Bi 3.14-3.19
Bi 0.4393 0.1654 0.5611  3 Bi 3.14-3.19
Bi 0.3782 0.7739 0.4393  3 Bi 3.14-3.19
Bi 0.0607 0.1218 0.2261  3 Bi 3.14-3.19
Bi 0.9389 0.8782 0.6043  3 Bi 3.14-3.19
Bi 0.1654 0.7261 0.6043  3 Bi 3.14-3.19
Bi 0.1654 0.4393 0.0611  3 Bi 3.14-3.19
Bi 0.7739 0.3782 0.9393  3 Bi 3.14-3.19
Bi 0.7739 0.3957 0.3346  3 Bi 3.14-3.19
Bi 0.0611 0.9393 0.1654  3 Bi 3.14-3.19
Bi 0.1043 0.4389 0.8782  3 Bi 3.14-3.19
Bi 0.2261 0.6218 0.0607  3 Bi 3.14-3.19
Bi 0.8782 0.9389 0.1043  3 Bi 3.14-3.19
Bi 0.5607 0.8346 0.4389  3 Bi 3.14-3.19
Bi 0.3782 0.6043 0.4389  3 Bi 3.14-3.19
Bi 0.7261 0.5607 0.1218  3 Bi 3.14-3.19
Bi 0.6218 0.2261 0.5607  3 Bi 3.14-3.19
Bi 0.5611 0.6654 0.4393  3 Bi 3.14-3.19
Bi 0.2739 0.4393 0.8782  3 Bi 3.14-3.19
Bi 0.8346 0.5607 0.9389  3 Bi 3.14-3.19
Bi 0.8346 0.2739 0.3957  3 Bi 3.14-3.19
Bi 0.0611 0.1218 0.3957  3 Bi 3.14-3.19
Bi 0.1043 0.6654 0.7261  3 Bi 3.14-3.19
Bi 0.8957 0.3346 0.2739  3 Bi 3.14-3.19
Bi 0.8957 0.5611 0.1218  3 Bi 3.14-3.19
Bi 0.6043 0.2261 0.1654  3 Bi 3.14-3.19
Bi 0.4389 0.1043 0.3782  3 Bi 3.14-3.19
Bi 0.1218 0.0611 0.8957  3 Bi 3.14-3.19
Hg 0.0000 0.5000 0.5000  6 Bi 3.57
Hg 0.2500 0.8750 0.1250  4 Bi 4.26
Hg 0.8750 0.2500 0.6250  4 Bi 4.26
Hg 0.1250 0.3750 0.2500  4 Bi 4.26
Hg 0.3750 0.2500 0.1250  4 Bi 4.26
Hg 0.7500 0.6250 0.3750  4 Bi 4.26
Hg 0.5000 0.5000 0.0000  6 Bi 3.57
Hg 0.2500 0.3750 0.6250  4 Bi 4.26
Hg 0.5000 0.0000 0.0000  6 Bi 3.57
Hg 0.0000 0.0000 0.0000  6 Bi 3.57
Hg 0.3750 0.1250 0.7500  4 Bi 4.26
Hg 0.6250 0.7500 0.8750  4 Bi 4.26
Hg 0.5000 0.0000 0.5000  6 Bi 3.57
Hg 0.0000 0.5000 0.0000  6 Bi 3.57
Hg 0.6250 0.8750 0.2500  4 Bi 4.26
Hg 0.1250 0.7500 0.3750  4 Bi 4.26
Hg 0.8750 0.6250 0.7500  4 Bi 4.26
Hg 0.5000 0.5000 0.5000  6 Bi 3.57
Hg 0.0000 0.0000 0.5000  6 Bi 3.57
Hg 0.7500 0.1250 0.8750  4 Bi 4.26